(1)
The following is a PBE-GGA calculation of BaFeMo2 after structural relaxation, from Alexandria.

Cell: 8.8672 8.8672 8.8672 Å, 146.93 146.93 47.46°
Fractional positions:
Ba (0.3750, 0.6250, 0.7500)
Ba (0.6250, 0.3750, 0.2500)
Fe (0.1250, 0.8750, 0.2500)
Fe (0.8750, 0.1250, 0.7500)
Mo (0.0000, 0.0000, 0.0000)
Mo (0.0000, 0.0000, 0.5000)
Mo (0.0000, 0.5000, 0.0000)
Mo (0.5000, 0.0000, 0.5000)

E above lowest polymorph: 559 meV/atom
spin magnetization: 0.0994 μB per atom
Fermi-level density of states: 1.590 states/eV per atom
calculated formation energy: 1.2412 eV per atom
space group: I4_1/amd, No. 141

---

(2)
The following is a PBE-GGA calculation of Ba2Fe2Mo after structural relaxation, from Alexandria.

Cell: 6.4451 6.4451 5.5896 Å, 90.00 90.00 90.00°
Fractional positions:
Ba (0.1834, 0.3166, 0.0000)
Ba (0.3166, 0.8166, 0.0000)
Ba (0.6834, 0.1834, 0.0000)
Ba (0.8166, 0.6834, 0.0000)
Fe (0.1265, 0.6265, 0.5000)
Fe (0.3735, 0.1265, 0.5000)
Fe (0.6265, 0.8735, 0.5000)
Fe (0.8735, 0.3735, 0.5000)
Mo (0.0000, 0.0000, 0.5000)
Mo (0.5000, 0.5000, 0.5000)

E above lowest polymorph: 0 meV/atom
spin magnetization: 0.4253 μB per atom
Fermi-level density of states: 0.784 states/eV per atom
calculated formation energy: 0.8782 eV per atom
space group: P4/mbm, No. 127

---

> The highest spin magnetization belongs to which entry?

Ba2Fe2Mo